A geometry-optimized Zr2Zn3Co4 structure, computed with GGA-PBE. Values from VASP.

Its formation energy is -0.174 eV/atom. As for the space group: Cmce.

Geometry as Quantum ESPRESSO input:
```
&SYSTEM
  ibrav = 0, nat = 18, ntyp = 3
/
ATOMIC_SPECIES
Zr 91.22 Zr.upf
Zn 65.41 Zn.upf
Co 58.93 Co.upf
CELL_PARAMETERS angstrom
-5.0847 -0.8716 -0.2860
1.1593 -5.9908 -2.3534
2.6186 -2.3425 7.2532
ATOMIC_POSITIONS angstrom
Zr 0.7058 -4.1227 0.0155
Zr -2.0126 -5.0823 4.5982
Zr 0.1720 -2.7978 5.4674
Zr -1.4788 -6.4071 -0.8537
Zn 0.0000 0.0000 0.0000
Zn -1.9627 -3.4312 -1.3197
Zn -0.3620 -6.1565 1.8627
Zn -3.4871 -3.4842 2.6080
Zn -0.9448 -3.0484 2.7511
Zn 2.1804 -5.7207 2.0057
Co -0.3371 -7.0622 4.1804
Co -3.5120 -2.5786 0.2903
Co -0.9696 -2.1428 0.4334
Co 2.2052 -6.6263 4.3234
Co 1.1658 -6.7801 -0.0633
Co -2.4726 -2.4249 4.6771
Co 0.6140 -4.8014 3.7153
Co -1.9208 -4.4035 0.8984
```

***

A geometry-optimized PmNiAs2Pd structure, computed with GGA-PBE. Values from VASP.

Its formation energy is -0.777 eV/atom. As for the space group: I-4m2.

Geometry as Quantum ESPRESSO input:
```
&SYSTEM
  ibrav = 0, nat = 5, ntyp = 4
/
ATOMIC_SPECIES
Pm 145.00 Pm.upf
Ni 58.69 Ni.upf
As 74.92 As.upf
Pd 106.42 Pd.upf
CELL_PARAMETERS angstrom
4.2099 0.0000 0.0000
0.0000 4.2099 0.0000
-2.1050 -2.1050 5.1285
ATOMIC_POSITIONS angstrom
Pm 0.0000 0.0000 0.0000
Ni 2.1050 0.0000 2.5642
As 2.1050 2.1050 1.2800
As 0.0000 0.0000 3.8485
Pd 0.0000 2.1050 2.5642
```

***

A geometry-optimized Ba2InSb4Au3 structure, computed with GGA-PBE. Values from VASP.

The calculation puts the uncorrected formation energy at -5.518 eV/f.u. As for the space group: P-4m2.

Geometry as Quantum ESPRESSO input:
```
&SYSTEM
  ibrav = 0, nat = 10, ntyp = 4
/
ATOMIC_SPECIES
Ba 137.33 Ba.upf
In 114.82 In.upf
Sb 121.76 Sb.upf
Au 196.97 Au.upf
CELL_PARAMETERS angstrom
-0.5622 -4.8888 -1.1908
3.0331 -1.2853 3.8448
-8.9029 -0.6353 6.8111
ATOMIC_POSITIONS angstrom
Ba -2.4714 -2.6007 1.0802
Ba -5.1960 -1.1217 7.0578
In -3.2160 -3.4047 4.7325
Sb 1.2355 -3.0870 1.3270
Sb 0.0000 0.0000 0.0000
Sb -5.9265 -2.8472 3.7236
Sb -1.7409 -0.8751 4.4145
Au -4.4514 -0.3176 3.4055
Au -8.1094 -3.0030 5.3936
Au 0.4420 -0.7193 2.7445
```

***

A geometry-optimized Ba3Si2Ge4 structure, computed with GGA-PBE. Values from VASP.

The calculation puts the uncorrected formation energy at -3.836 eV/f.u. As for the space group: C2/m.

Geometry as Quantum ESPRESSO input:
```
&SYSTEM
  ibrav = 0, nat = 9, ntyp = 3
/
ATOMIC_SPECIES
Ba 137.33 Ba.upf
Si 28.09 Si.upf
Ge 72.64 Ge.upf
CELL_PARAMETERS angstrom
4.1239 0.0000 0.0000
-2.0619 6.5570 -0.9518
0.0000 -0.0524 9.5340
ATOMIC_POSITIONS angstrom
Ba 2.0619 1.8923 5.9428
Ba 0.0000 0.0000 0.0000
Ba 0.0000 4.6123 2.6394
Si 2.0619 2.0050 2.2495
Si 0.0000 4.4996 6.3327
Ge 2.0619 2.6082 -0.1602
Ge 0.0000 3.8964 8.7424
Ge 2.0619 5.4870 5.3714
Ge 0.0000 1.0176 3.2108
```

***

no.,E (eV per atom)
1,-5.66
2,-5.78
3,-3.84
4,-4.32